(1)
Material: PaCo2NiAs2
Method: DFT, PBE-GGA
State: optimized geometry

Computed properties:
The volume comes out at 14.892 A^3/atom. The formation enthalpy at 0 K is -0.533 eV per atom.

a b c (Å): 4.0426 4.0426 6.3130
angles (deg): 90.00 90.00 120.00
Last column: nearest neighbours and their distance in Å.
Space group P-3m1 (No. 164)
Unique sites:
Pa1 0.0000 0.0000 0.0000  6 As 2.95, 6 Co 3.10, 2 Ni 3.16
Co1 0.3333 0.6667 0.6763  4 As 2.35-2.47, 3 Ni 2.59
Ni1 0.0000 0.0000 0.5000  6 Co 2.59, 6 As 2.70
As1 0.3333 0.6667 0.2856  4 Co 2.35-2.47

=====

(2)
Material: Pa2CoNi3As4
Method: DFT, PBE-GGA
State: optimized geometry

Computed properties:
The volume comes out at 16.107 A^3/atom. The formation enthalpy at 0 K is -0.662 eV per atom.

a b c (Å): 4.2416 4.2416 8.9526
angles (deg): 90.00 90.00 90.00
Last column: nearest neighbours and their distance in Å.
Space group P-4m2 (No. 115)
Unique sites:
Pa1 0.0000 0.5000 0.2411  2 Co 3.03, 7 Ni 3.03-3.36, 9 As 3.14-3.30
Co1 0.5000 0.5000 0.0000  4 As 2.41
Ni1 0.0000 0.0000 0.0000  4 As 2.41
Ni2 0.0000 0.5000 0.6161  5 As 2.30-2.36
As1 0.0000 0.0000 0.5000  4 Ni 2.36
As2 0.0000 0.5000 0.8727  3 Ni 2.30-2.41, 2 Co 2.41
As3 0.5000 0.5000 0.5000  4 Ni 2.36

=====

(3)
Material: Pa2Co4NiAs3
Method: DFT, PBE-GGA
State: optimized geometry

Computed properties:
The volume comes out at 15.193 A^3/atom. The formation enthalpy at 0 K is -0.626 eV per atom.

a b c (Å): 3.9300 3.9300 9.8374
angles (deg): 90.00 90.00 90.00
Last column: nearest neighbours and their distance in Å.
Space group P-4m2 (No. 115)
Unique sites:
Pa1 0.0000 0.5000 0.2431  8 Co 2.96-3.20, 6 As 3.05-3.10, 2 Ni 3.10
Co1 0.0000 0.0000 0.5000  4 As 2.34
Co2 0.0000 0.5000 0.8619  3 As 2.28-2.39, 2 Ni 2.39
Co3 0.5000 0.5000 0.5000  4 As 2.34
Ni1 0.5000 0.5000 0.0000  4 Co 2.39
As1 0.0000 0.0000 0.0000  4 Co 2.39
As2 0.0000 0.5000 0.6297  5 Co 2.28-2.34

=====

(4)
Material: Pm2Co3NiAs4
Method: DFT, PBE-GGA
State: optimized geometry

Computed properties:
The volume comes out at 16.379 A^3/atom. The formation enthalpy at 0 K is -0.762 eV per atom.

a b c (Å): 4.1538 4.1538 9.4927
angles (deg): 90.00 90.00 90.00
Last column: nearest neighbours and their distance in Å.
Space group P-4m2 (No. 115)
Unique sites:
Pm1 0.0000 0.5000 0.2484  8 As 3.13-3.14, 7 Co 3.17-3.45, 2 Ni 3.17
Co1 0.0000 0.5000 0.8852  5 As 2.35-2.36
Co2 0.5000 0.5000 0.5000  4 As 2.45
Ni1 0.0000 0.0000 0.5000  4 As 2.45
As1 0.0000 0.0000 0.0000  4 Co 2.35
As2 0.0000 0.5000 0.6364  3 Co 2.36-2.45, 2 Ni 2.45
As3 0.5000 0.5000 0.0000  4 Co 2.35